[1]
VASP calculation (GGA-PBE) on crystalline PrSmZnRh at its relaxed geometry.

abc: 5.0959 5.0959 5.0959
angles: 60.00 60.00 60.00
Element x y z (fractional)
Pr: 0.7500 0.7500 0.7500
Zn: 0.0000 0.0000 0.0000
Rh: 0.5000 0.5000 0.5000
Sm: 0.2500 0.2500 0.2500

Values from the calculation:
**D(E_F)**: 2.03 states/eV/cell
**Magnetic moment**: 0.00 μB/atom
**E_form**: -0.478 eV per atom
**Relative energy among the computed polymorphs**: 0.0371 eV/atom
**Calculated volume**: 93.6 Å³/cell

=====

[2]
VASP calculation (GGA-PBE) on crystalline Pr2Sn5Rh3 at its relaxed geometry.

abc: 6.4457 9.0605 9.0605
angles: 74.05 69.16 69.16
Element x y z (fractional)
Pr: 0.1455 0.5821 0.1269
Pr: 0.6455 0.1269 0.5821
Pr: 0.8545 0.4179 0.8731
Pr: 0.3545 0.8731 0.4179
Sn: 0.4144 0.2551 0.9161
Sn: 0.9144 0.9161 0.2551
Sn: 0.5856 0.7449 0.0839
Sn: 0.0856 0.0839 0.7449
Sn: 0.4703 0.7797 0.7797
Sn: 0.5297 0.2203 0.2203
Sn: 0.7500 0.5000 0.5000
Sn: 0.2500 0.5000 0.5000
Sn: 0.0297 0.2203 0.2203
Sn: 0.9703 0.7797 0.7797
Rh: 0.3583 0.5375 0.7459
Rh: 0.8583 0.7459 0.5375
Rh: 0.6417 0.4625 0.2541
Rh: 0.1417 0.2541 0.4625
Rh: 0.2500 0.0000 0.0000
Rh: 0.7500 0.0000 0.0000

Values from the calculation:
**D(E_F)**: 14.29 states/eV/cell
**Magnetic moment**: 0.00 μB/atom
**E_form**: -0.702 eV per atom
**Relative energy among the computed polymorphs**: 0.0213 eV/atom
**Calculated volume**: 455.5 Å³/cell

=====

[3]
VASP calculation (GGA-PBE) on crystalline PrSnRh3 at its relaxed geometry.

abc: 6.5893 6.5893 6.5893
angles: 108.46 129.55 92.67
Element x y z (fractional)
Pr: 0.9875 0.7375 0.7500
Pr: 0.0125 0.2625 0.2500
Sn: 0.5000 0.5000 0.0000
Sn: 0.5000 0.0000 0.5000
Rh: 0.5000 0.2985 0.2985
Rh: 0.0000 0.7015 0.2015
Rh: 0.5000 0.7015 0.7015
Rh: 0.0000 0.2985 0.7985
Rh: 0.7025 0.9525 0.2500
Rh: 0.2975 0.0475 0.7500

Values from the calculation:
**D(E_F)**: 7.98 states/eV/cell
**Magnetic moment**: 0.00 μB/atom
**E_form**: -0.482 eV per atom
**Calculated volume**: 196.8 Å³/cell

=====

[4]
VASP calculation (GGA-PBE) on crystalline PrSnRh at its relaxed geometry.

abc: 4.9088 4.9088 7.8990
angles: 71.90 71.90 60.00
Element x y z (fractional)
Sn: 0.1221 0.1221 0.6336
Sn: 0.8779 0.8779 0.3664
Pr: 0.6171 0.6171 0.1488
Pr: 0.3829 0.3829 0.8512
Rh: 0.2437 0.2437 0.2689
Rh: 0.7563 0.7563 0.7311

Values from the calculation:
**D(E_F)**: 3.35 states/eV/cell
**Magnetic moment**: 0.00 μB/atom
**E_form**: -0.527 eV per atom
**Calculated volume**: 153.9 Å³/cell

=====

[5]
VASP calculation (GGA-PBE) on crystalline PrSnRh at its relaxed geometry.

abc: 3.9131 4.6336 4.6336
angles: 120.00 90.00 90.00
Element x y z (fractional)
Pr: 0.6667 0.6667 0.3333
Rh: 0.1666 0.0000 0.0000
Sn: 0.1668 0.3333 0.6667

Values from the calculation:
**D(E_F)**: 2.42 states/eV/cell
**Magnetic moment**: 0.00 μB/atom
**E_form**: -0.704 eV per atom
**Calculated volume**: 72.8 Å³/cell

=====

[6]
VASP calculation (GGA-PBE) on crystalline PrSn12Rh6 at its relaxed geometry.

abc: 7.9247 7.9247 7.9247
angles: 106.30 106.30 106.30
Element x y z (fractional)
Pr: 0.0000 0.0000 0.0000
Sn: 0.8792 0.1208 0.5000
Sn: 0.8558 0.6019 0.6019
Sn: 0.6019 0.6019 0.8558
Sn: 0.3981 0.1442 0.3981
Sn: 0.3981 0.3981 0.1442
Sn: 0.1442 0.3981 0.3981
Sn: 0.1208 0.5000 0.8792
Sn: 0.5000 0.8792 0.1208
Sn: 0.1208 0.8792 0.5000
Sn: 0.8792 0.5000 0.1208
Sn: 0.5000 0.1208 0.8792
Sn: 0.6019 0.8558 0.6019
Rh: 0.7016 0.2822 0.2822
Rh: 0.2822 0.2822 0.7016
Rh: 0.2822 0.7016 0.2822
Rh: 0.7178 0.7178 0.2984
Rh: 0.2984 0.7178 0.7178
Rh: 0.7178 0.2984 0.7178

Values from the calculation:
**D(E_F)**: 13.00 states/eV/cell
**Magnetic moment**: 0.00 μB/atom
**E_form**: -0.307 eV per atom
**Calculated volume**: 422.2 Å³/cell

=====

[7]
VASP calculation (GGA-PBE) on crystalline Pr2Sn5Rh3 at its relaxed geometry.

abc: 4.5321 7.3267 13.6161
angles: 90.00 99.58 90.00
Element x y z (fractional)
Pr: 0.4757 0.7546 0.9513
Pr: 0.1726 0.7312 0.3453
Pr: 0.8274 0.2312 0.6547
Pr: 0.5243 0.2546 0.0487
Sn: 0.4038 0.3796 0.8077
Sn: 0.2898 0.5137 0.5796
Sn: 0.7102 0.0137 0.4204
Sn: 0.1214 0.2565 0.2428
Sn: 0.2944 0.9349 0.5887
Sn: 0.9512 0.0904 0.9023
Sn: 0.7056 0.4349 0.4113
Sn: 0.8786 0.7565 0.7572
Sn: 0.0488 0.5904 0.0977
Sn: 0.5962 0.8796 0.1923
Rh: 0.7772 0.7231 0.5545
Rh: 0.6068 0.5081 0.2136
Rh: 0.0510 0.9727 0.1021
Rh: 0.2228 0.2231 0.4455
Rh: 0.9490 0.4727 0.8979
Rh: 0.3932 0.0081 0.7864

Values from the calculation:
**D(E_F)**: 10.57 states/eV/cell
**Magnetic moment**: 0.00 μB/atom
**E_form**: -0.723 eV per atom
**Relative energy among the computed polymorphs**: 0.0000 eV/atom
**Calculated volume**: 445.8 Å³/cell

=====

[8]
VASP calculation (GGA-PBE) on crystalline Pr8SnRh2 at its relaxed geometry.

abc: 5.6409 8.3033 8.3033
angles: 115.13 97.58 97.58
Element x y z (fractional)
Pr: 0.9399 0.9211 0.6734
Pr: 0.9399 0.6734 0.9211
Pr: 0.3083 0.6078 0.6078
Pr: 0.5000 0.7524 0.2476
Pr: 0.5000 0.2476 0.7524
Pr: 0.6917 0.3922 0.3922
Pr: 0.0601 0.3266 0.0789
Pr: 0.0601 0.0789 0.3266
Sn: 0.5000 0.0000 0.0000
Rh: 0.0000 0.2960 0.7040
Rh: 0.0000 0.7040 0.2960

Values from the calculation:
**D(E_F)**: 13.63 states/eV/cell
**Magnetic moment**: 0.00 μB/atom
**E_form**: -0.340 eV per atom
**Calculated volume**: 341.3 Å³/cell

=====

[9]
VASP calculation (GGA-PBE) on crystalline Pr3Sn6Rh5 at its relaxed geometry.

abc: 4.4784 9.8216 13.7707
angles: 90.00 90.00 90.00
Element x y z (fractional)
Pr: 0.0000 0.2484 0.7015
Pr: 0.5000 0.7516 0.2015
Pr: 0.5000 0.7516 0.7985
Pr: 0.0000 0.2663 0.0000
Pr: 0.5000 0.7337 0.5000
Pr: 0.0000 0.2484 0.2985
Sn: 0.0000 0.9801 0.8437
Sn: 0.5000 0.0199 0.6563
Sn: 0.5000 0.4074 0.8207
Sn: 0.5000 0.6007 0.0000
Sn: 0.0000 0.3993 0.5000
Sn: 0.0000 0.5926 0.6793
Sn: 0.0000 0.5926 0.3207
Sn: 0.5000 0.9663 0.0000
Sn: 0.0000 0.9801 0.1563
Sn: 0.5000 0.4074 0.1793
Sn: 0.0000 0.0337 0.5000
Sn: 0.5000 0.0199 0.3437
Rh: 0.0000 0.5399 0.8875
Rh: 0.0000 0.8679 0.6574
Rh: 0.0000 0.7961 0.0000
Rh: 0.5000 0.4601 0.6125
Rh: 0.5000 0.2039 0.5000
Rh: 0.0000 0.5399 0.1125
Rh: 0.5000 0.4601 0.3875
Rh: 0.0000 0.8679 0.3426
Rh: 0.5000 0.1321 0.8426
Rh: 0.5000 0.1321 0.1574

Values from the calculation:
**D(E_F)**: 13.01 states/eV/cell
**Magnetic moment**: 0.00 μB/atom
**E_form**: -0.702 eV per atom
**Calculated volume**: 605.7 Å³/cell

=====

[10]
VASP calculation (GGA-PBE) on crystalline Pr12Sn6Rh at its relaxed geometry.

abc: 8.9524 8.9524 8.9524
angles: 99.30 99.30 99.30
Element x y z (fractional)
Pr: 0.8074 0.5717 0.4359
Pr: 0.4359 0.8074 0.5717
Pr: 0.5717 0.4359 0.8074
Pr: 0.1926 0.4283 0.5641
Pr: 0.5641 0.1926 0.4283
Pr: 0.4283 0.5641 0.1926
Pr: 0.0556 0.9855 0.3179
Pr: 0.0145 0.6821 0.9444
Pr: 0.6821 0.9444 0.0145
Pr: 0.9444 0.0145 0.6821
Pr: 0.9855 0.3179 0.0556
Pr: 0.3179 0.0556 0.9855
Sn: 0.6915 0.8769 0.3586
Sn: 0.6414 0.3085 0.1231
Sn: 0.1231 0.6414 0.3085
Sn: 0.3085 0.1231 0.6414
Sn: 0.3586 0.6915 0.8769
Sn: 0.8769 0.3586 0.6915
Rh: 0.0000 0.0000 0.0000

Values from the calculation:
**D(E_F)**: 21.34 states/eV/cell
**Magnetic moment**: 0.00 μB/atom
**E_form**: -0.437 eV per atom
**Calculated volume**: 685.6 Å³/cell

=====

[11]
VASP calculation (GGA-PBE) on crystalline PrSn4Rh at its relaxed geometry.

abc: 6.5217 7.5936 8.4368
angles: 112.44 127.74 78.66
Element x y z (fractional)
Pr: 0.9763 0.7378 0.9639
Pr: 0.0237 0.2622 0.0361
Sn: 0.4645 0.0845 0.8305
Sn: 0.5196 0.4722 0.1708
Sn: 0.5355 0.9155 0.1695
Sn: 0.4804 0.5278 0.8292
Sn: 0.9759 0.8747 0.6457
Sn: 0.2875 0.6720 0.4439
Sn: 0.0241 0.1253 0.3543
Sn: 0.7125 0.3280 0.5561
Rh: 0.5000 0.0000 0.5000
Rh: 0.0000 0.5000 0.5000

Values from the calculation:
**D(E_F)**: 5.85 states/eV/cell
**Magnetic moment**: 0.00 μB/atom
**E_form**: -0.381 eV per atom
**Calculated volume**: 305.0 Å³/cell

=====

[12]
VASP calculation (GGA-PBE) on crystalline Pr3Sn13Rh4 at its relaxed geometry.

abc: 9.8269 9.8269 9.8269
angles: 90.00 90.00 90.00
Element x y z (fractional)
Pr: 0.0000 0.5000 0.7500
Pr: 0.2500 0.0000 0.5000
Pr: 0.0000 0.5000 0.2500
Pr: 0.7500 0.0000 0.5000
Pr: 0.5000 0.2500 0.0000
Pr: 0.5000 0.7500 0.0000
Sn: 0.3467 0.5000 0.8062
Sn: 0.0000 0.8467 0.6938
Sn: 0.3062 0.0000 0.1533
Sn: 0.1533 0.3062 0.0000
Sn: 0.6938 0.0000 0.8467
Sn: 0.0000 0.0000 0.0000
Sn: 0.6533 0.5000 0.8062
Sn: 0.1938 0.6533 0.5000
Sn: 0.8062 0.6533 0.5000
Sn: 0.0000 0.8467 0.3062
Sn: 0.5000 0.8062 0.3467
Sn: 0.3467 0.5000 0.1938
Sn: 0.8467 0.6938 0.0000
Sn: 0.3062 0.0000 0.8467
Sn: 0.5000 0.1938 0.6533
Sn: 0.5000 0.1938 0.3467
Sn: 0.8467 0.3062 0.0000
Sn: 0.6533 0.5000 0.1938
Sn: 0.8062 0.3467 0.5000
Sn: 0.5000 0.5000 0.5000
Sn: 0.1938 0.3467 0.5000
Sn: 0.0000 0.1533 0.3062
Sn: 0.0000 0.1533 0.6938
Sn: 0.5000 0.8062 0.6533
Sn: 0.6938 0.0000 0.1533
Sn: 0.1533 0.6938 0.0000
Rh: 0.7500 0.7500 0.2500
Rh: 0.2500 0.7500 0.2500
Rh: 0.7500 0.2500 0.2500
Rh: 0.2500 0.2500 0.7500
Rh: 0.7500 0.2500 0.7500
Rh: 0.7500 0.7500 0.7500
Rh: 0.2500 0.2500 0.2500
Rh: 0.2500 0.7500 0.7500

Values from the calculation:
**D(E_F)**: 13.95 states/eV/cell
**Magnetic moment**: 0.00 μB/atom
**E_form**: -0.586 eV per atom
**Calculated volume**: 949.0 Å³/cell

=====

[13]
VASP calculation (GGA-PBE) on crystalline Pr2Sn6Rh at its relaxed geometry.

abc: 4.0759 7.2643 9.2796
angles: 114.21 90.00 90.00
Element x y z (fractional)
Pr: 0.4999 0.7140 0.4241
Pr: 0.5001 0.2860 0.5759
Sn: 0.9999 0.3359 0.2838
Sn: 0.0001 0.0627 0.7256
Sn: 0.0001 0.6641 0.7162
Sn: 0.5000 0.2675 0.0067
Sn: 0.9999 0.9373 0.2744
Sn: 0.5000 0.7325 0.9933
Rh: 0.0000 0.0000 0.0000

Values from the calculation:
**D(E_F)**: 5.84 states/eV/cell
**Magnetic moment**: 0.00 μB/atom
**E_form**: -0.397 eV per atom
**Calculated volume**: 250.6 Å³/cell

=====

[14]
VASP calculation (GGA-PBE) on crystalline PrSn4Rh2 at its relaxed geometry.

abc: 4.5431 7.2272 18.6972
angles: 90.00 90.00 90.00
Element x y z (fractional)
Pr: 0.2500 0.0005 0.8582
Pr: 0.2500 0.4995 0.3582
Pr: 0.7500 0.9995 0.1418
Pr: 0.7500 0.5005 0.6418
Sn: 0.2500 0.3002 0.1820
Sn: 0.2500 0.1998 0.6820
Sn: 0.7500 0.6998 0.8180
Sn: 0.7500 0.8002 0.3180
Sn: 0.2500 0.7197 0.1948
Sn: 0.2500 0.7803 0.6948
Sn: 0.7500 0.2803 0.8052
Sn: 0.7500 0.2197 0.3052
Sn: 0.2500 0.8657 0.0316
Sn: 0.2500 0.6343 0.5316
Sn: 0.7500 0.1343 0.9684
Sn: 0.7500 0.3657 0.4684
Sn: 0.2500 0.5211 0.9324
Sn: 0.2500 0.9789 0.4324
Sn: 0.7500 0.4789 0.0676
Sn: 0.7500 0.0211 0.5676
Rh: 0.2500 0.2516 0.0344
Rh: 0.2500 0.2484 0.5344
Rh: 0.7500 0.7484 0.9656
Rh: 0.7500 0.7516 0.4656
Rh: 0.2500 0.0148 0.2873
Rh: 0.2500 0.4852 0.7873
Rh: 0.7500 0.9852 0.7127
Rh: 0.7500 0.5148 0.2127

Values from the calculation:
**D(E_F)**: 10.82 states/eV/cell
**Magnetic moment**: 0.00 μB/atom
**E_form**: -0.639 eV per atom
**Relative energy among the computed polymorphs**: 0.0000 eV/atom
**Calculated volume**: 613.9 Å³/cell

=====

[15]
VASP calculation (GGA-PBE) on crystalline PrSn8Rh4 at its relaxed geometry.

abc: 9.3909 9.3909 6.6379
angles: 44.98 44.98 60.00
Element x y z (fractional)
Pr: 0.5000 0.5000 0.5000
Sn: 0.7637 0.2364 0.7636
Sn: 0.7636 0.2363 0.2364
Sn: 0.2363 0.7636 0.2364
Sn: 0.7636 0.7636 0.2364
Sn: 0.7636 0.7636 0.7093
Sn: 0.2364 0.2364 0.2907
Sn: 0.2364 0.2364 0.7636
Sn: 0.2364 0.7637 0.7636
Rh: 0.0000 0.5000 0.0000
Rh: 0.5000 0.5000 0.0000
Rh: 0.5000 0.0000 0.0000
Rh: 0.0000 0.0000 0.0000

Values from the calculation:
**D(E_F)**: 7.34 states/eV/cell
**Magnetic moment**: 0.00 μB/atom
**E_form**: -0.408 eV per atom
**Calculated volume**: 292.5 Å³/cell

=====

[16]
VASP calculation (GGA-PBE) on crystalline PrSn4Rh2 at its relaxed geometry.

abc: 3.9141 9.0274 9.0274
angles: 90.00 90.00 90.00
Element x y z (fractional)
Pr: 0.5000 0.0000 0.0000
Pr: 0.0000 0.5000 0.5000
Sn: 0.0000 0.0708 0.3059
Sn: 0.0000 0.9292 0.6941
Sn: 0.5000 0.1941 0.5708
Sn: 0.5000 0.8059 0.4292
Sn: 0.5000 0.4292 0.8059
Sn: 0.5000 0.5708 0.1941
Sn: 0.0000 0.3059 0.0708
Sn: 0.0000 0.6941 0.9292
Rh: 0.0000 0.2145 0.7855
Rh: 0.0000 0.7855 0.2145
Rh: 0.5000 0.7145 0.7145
Rh: 0.5000 0.2855 0.2855

Values from the calculation:
**D(E_F)**: 5.35 states/eV/cell
**Magnetic moment**: 0.00 μB/atom
**E_form**: -0.487 eV per atom
**Relative energy among the computed polymorphs**: 0.1519 eV/atom
**Calculated volume**: 319.0 Å³/cell

=====

[17]
VASP calculation (GGA-PBE) on crystalline Pr3SnRh at its relaxed geometry.

abc: 4.8458 7.7297 8.5699
angles: 113.46 90.00 90.00
Element x y z (fractional)
Pr: 0.7500 0.6532 0.4068
Pr: 0.2500 0.3468 0.5932
Pr: 0.7500 0.3220 0.9260
Pr: 0.2500 0.9510 0.7566
Pr: 0.2500 0.6780 0.0740
Pr: 0.7500 0.0490 0.2434
Sn: 0.2500 0.3098 0.1872
Sn: 0.7500 0.6902 0.8128
Rh: 0.2500 0.9221 0.4061
Rh: 0.7500 0.0779 0.5939

Values from the calculation:
**D(E_F)**: 10.51 states/eV/cell
**Magnetic moment**: 0.00 μB/atom
**E_form**: -0.598 eV per atom
**Relative energy among the computed polymorphs**: 0.0000 eV/atom
**Calculated volume**: 294.5 Å³/cell

=====

[18]
VASP calculation (GGA-PBE) on crystalline PrSn2Rh6 at its relaxed geometry.

abc: 8.1004 8.1004 8.1004
angles: 60.00 60.00 60.00
Element x y z (fractional)
Pr: 0.5000 0.5000 0.5000
Pr: 0.7500 0.7500 0.7500
Sn: 0.1250 0.1250 0.1250
Sn: 0.1250 0.6250 0.1250
Sn: 0.1250 0.1250 0.6250
Sn: 0.6250 0.1250 0.1250
Rh: 0.2643 0.2643 0.7357
Rh: 0.7357 0.7357 0.2643
Rh: 0.2643 0.7357 0.2643
Rh: 0.2643 0.7357 0.7357
Rh: 0.5143 0.5143 0.9857
Rh: 0.5143 0.9857 0.9857
Rh: 0.7357 0.2643 0.7357
Rh: 0.9857 0.9857 0.5143
Rh: 0.5143 0.9857 0.5143
Rh: 0.9857 0.5143 0.5143
Rh: 0.7357 0.2643 0.2643
Rh: 0.9857 0.5143 0.9857

Values from the calculation:
**D(E_F)**: 19.59 states/eV/cell
**Magnetic moment**: 0.00 μB/atom
**E_form**: 0.151 eV per atom
**Calculated volume**: 375.8 Å³/cell